[1]
The following is a PBE calculation of DyHfSc after structural relaxation, from the Alexandria database.

a = 7.329 Å, b = 7.329 Å, c = 4.664 Å
α = 90.00°, β = 90.00°, γ = 142.39°
Element x y z (fractional)
Dy: 0.083 0.917 0.750
Dy: 0.917 0.083 0.250
Hf: 0.420 0.580 0.750
Hf: 0.580 0.420 0.250
Sc: 0.250 0.750 0.250
Sc: 0.750 0.250 0.750

Output
The energy comes out at -6.830 eV per atom. The total magnetization comes out at 0.0 μB per formula unit. For the volume, the calculation gives 152.88 Å³/cell. Its formation energy is 132 meV per atom. The offset from the most stable computed form comes out at 0.0991 eV/atom. The density of states at the Fermi level comes out at 1.3643 states/eV/atom.

***

[2]
The following is a PBE calculation of Tl2ZnH2 after structural relaxation, from the Alexandria database.

a = 7.262 Å, b = 7.262 Å, c = 7.262 Å
α = 149.97°, β = 149.97°, γ = 42.99°
Element x y z (fractional)
Tl: 0.148 0.148 0.000
Tl: 0.852 0.852 0.000
Zn: 0.500 0.500 0.000
H: 0.250 0.750 0.500
H: 0.750 0.250 0.500

Output
The energy comes out at -2.155 eV per atom. The total magnetization comes out at 0.0 μB per formula unit. For the volume, the calculation gives 95.66 Å³/cell. The offset from the most stable computed form comes out at 0.0000 eV/atom. The density of states at the Fermi level comes out at 0.1598 states/eV/atom.

***

[3]
The following is a PBE calculation of P2Pd7Au after structural relaxation, from the Alexandria database.

a = 10.261 Å, b = 10.261 Å, c = 10.261 Å
α = 157.59°, β = 157.59°, γ = 31.91°
Element x y z (fractional)
P: 0.172 0.172 0.000
P: 0.828 0.828 0.000
Pd: 0.000 0.000 0.000
Pd: 0.107 0.607 0.500
Pd: 0.250 0.750 0.500
Pd: 0.393 0.893 0.500
Pd: 0.607 0.107 0.500
Pd: 0.750 0.250 0.500
Pd: 0.893 0.393 0.500
Au: 0.500 0.500 0.000

Output
The energy comes out at -5.400 eV per atom. The total magnetization comes out at 0.0 μB per formula unit. For the volume, the calculation gives 156.95 Å³/cell. Its formation energy is -356 meV per atom. The density of states at the Fermi level comes out at 0.4641 states/eV/atom.